No. 1
Compound: LiRhCl2
Source: the Alexandria database
Functional: GGA-PBE
Structure: relaxed

The structure in POSCAR format:
```
LiRhCl2
1.0
-1.713 1.713 7.377
1.713 -1.713 7.377
1.713 1.713 -7.377
Li Rh Cl
1 1 2
direct
0.000 0.000 0.000
0.250 0.750 0.500
0.500 0.500 0.000
0.750 0.250 0.500
```

Properties
The space group is I-4m2. Its relative energy among the computed polymorphs is 0.1284 eV/atom.

***

No. 2
Compound: LiRh2Cl
Source: the Alexandria database
Functional: GGA-PBE
Structure: relaxed

The structure in POSCAR format:
```
LiRh2Cl
1.0
2.890 0.000 0.000
0.000 4.840 0.000
-0.037 0.000 4.393
Li Rh Cl
1 2 1
direct
0.000 0.000 0.000
0.262 0.500 0.249
0.738 0.500 0.751
0.500 0.000 0.500
```

Properties
The space group is P2/m. Its relative energy among the computed polymorphs is 0.2485 eV/atom.

***

No. 3
Compound: Li5RhCl8
Source: the Alexandria database
Functional: GGA-PBE
Structure: relaxed

The structure in POSCAR format:
```
Li5RhCl8
1.0
0.000 5.294 5.294
5.294 0.000 5.294
5.294 5.294 0.000
Li Rh Cl
5 1 8
direct
0.000 0.000 0.000
0.070 0.643 0.643
0.643 0.070 0.643
0.643 0.643 0.070
0.643 0.643 0.643
0.250 0.250 0.250
0.377 0.377 0.377
0.377 0.377 0.870
0.377 0.870 0.377
0.390 0.870 0.870
0.870 0.377 0.377
0.870 0.390 0.870
0.870 0.870 0.390
0.870 0.870 0.870
```

Properties
The space group is F-43m.

***

No. 4
Compound: Li2RhCl6
Source: the Alexandria database
Functional: GGA-PBE
Structure: relaxed

The structure in POSCAR format:
```
Li2RhCl6
1.0
6.246 0.000 0.000
0.000 6.524 0.000
-5.859 0.000 10.183
Li Rh Cl
4 2 12
direct
0.151 0.100 0.160
0.151 0.400 0.660
0.849 0.600 0.340
0.849 0.900 0.840
0.500 0.000 0.000
0.500 0.500 0.500
0.152 0.098 0.800
0.152 0.402 0.300
0.235 0.695 0.547
0.235 0.805 0.047
0.439 0.221 0.603
0.439 0.279 0.103
0.561 0.721 0.897
0.561 0.779 0.397
0.765 0.195 0.953
0.765 0.305 0.453
0.848 0.598 0.700
0.848 0.902 0.200
```

Properties
The space group is P2_1/c. Its relative energy among the computed polymorphs is 0.0000 eV/atom.

***

No. 5
Compound: LiRh2Cl
Source: the Alexandria database
Functional: GGA-PBE
Structure: relaxed

The structure in POSCAR format:
```
LiRh2Cl
1.0
2.684 -4.433 0.000
2.684 4.433 0.000
-1.561 0.000 2.460
Li Rh Cl
1 2 1
direct
0.000 0.000 0.000
0.000 0.500 0.500
0.500 0.000 0.500
0.500 0.500 0.000
```

Properties
The space group is C2/m. Its relative energy among the computed polymorphs is 0.2233 eV/atom.

***

No. 6
Compound: LiRh2Cl
Source: the Alexandria database
Functional: GGA-PBE
Structure: relaxed

The structure in POSCAR format:
```
LiRh2Cl
1.0
3.464 0.000 0.000
0.000 3.464 0.000
0.000 0.000 6.650
Li Rh Cl
1 2 1
direct
0.000 0.000 0.000
0.000 0.500 0.500
0.500 0.000 0.500
0.500 0.500 0.000
```

Properties
The space group is P4/mmm. Its relative energy among the computed polymorphs is 0.2380 eV/atom.

***

No. 7
Compound: LiRuRhCl2
Source: the Alexandria database
Functional: GGA-PBE
Structure: relaxed

The structure in POSCAR format:
```
LiRuRhCl2
1.0
4.635 0.000 0.000
0.000 4.635 0.000
0.000 0.000 4.774
Li Ru Rh Cl
1 1 1 2
direct
0.000 0.000 0.000
0.000 0.000 0.500
0.500 0.500 0.000
0.000 0.500 0.500
0.500 0.000 0.500
```

Properties
The space group is P4/mmm.

***

No. 8
Compound: LiRhS2Cl
Source: the Alexandria database
Functional: GGA-PBE
Structure: relaxed

The structure in POSCAR format:
```
LiRhS2Cl
1.0
4.581 0.000 0.000
0.000 4.581 0.000
0.000 0.000 5.190
Li Rh S Cl
1 1 2 1
direct
0.000 0.000 0.000
0.500 0.500 0.500
0.000 0.500 0.500
0.500 0.000 0.500
0.500 0.500 0.000
```

Properties
The space group is P4/mmm. Its relative energy among the computed polymorphs is 0.0000 eV/atom.

***

No. 9
Compound: Li2ScRhCl
Source: the Alexandria database
Functional: GGA-PBE
Structure: relaxed

The structure in POSCAR format:
```
Li2ScRhCl
1.0
5.767 0.000 0.000
0.000 5.767 0.000
0.000 0.000 4.487
Li Sc Rh Cl
2 1 1 1
direct
0.000 0.500 0.000
0.500 0.000 0.000
0.000 0.000 0.000
0.000 0.000 0.500
0.500 0.500 0.500
```

Properties
The space group is P4/mmm.

***

No. 10
Compound: LiTlRhCl6
Source: the Alexandria database
Functional: GGA-PBE
Structure: relaxed

The structure in POSCAR format:
```
LiTlRhCl6
1.0
6.834 0.000 0.000
-3.417 5.919 0.000
0.000 0.000 11.028
Li Tl Rh Cl
2 2 2 12
direct
0.000 0.000 0.000
0.000 0.000 0.500
0.333 0.667 0.250
0.667 0.333 0.750
0.333 0.667 0.750
0.667 0.333 0.250
0.060 0.378 0.625
0.060 0.682 0.875
0.318 0.378 0.875
0.318 0.940 0.625
0.378 0.060 0.125
0.378 0.318 0.375
0.622 0.682 0.625
0.622 0.940 0.875
0.682 0.060 0.375
0.682 0.622 0.125
0.940 0.318 0.125
0.940 0.622 0.375
```

Properties
The space group is P-31c.

***

No. 11
Compound: LiTl2RhCl6
Source: the Alexandria database
Functional: GGA-PBE
Structure: relaxed

The structure in POSCAR format:
```
LiTl2RhCl6
1.0
7.016 0.000 0.000
0.000 9.925 0.000
0.000 0.000 7.014
Li Tl Rh Cl
2 4 2 12
direct
0.250 0.250 0.248
0.750 0.750 0.752
0.250 0.000 0.750
0.250 0.500 0.750
0.750 0.000 0.250
0.750 0.500 0.250
0.250 0.750 0.250
0.750 0.250 0.750
0.011 0.750 0.012
0.011 0.750 0.489
0.250 0.511 0.251
0.250 0.989 0.251
0.489 0.750 0.012
0.489 0.750 0.489
0.511 0.250 0.511
0.511 0.250 0.988
0.750 0.011 0.749
0.750 0.489 0.749
0.989 0.250 0.511
0.989 0.250 0.988
```

Properties
The space group is Pmmn.

***

No. 12
Compound: LiRu4Cl
Source: the Alexandria database
Functional: GGA-PBE
Structure: relaxed

The structure in POSCAR format:
```
LiRu4Cl
1.0
0.000 3.673 3.673
3.673 0.000 3.673
3.673 3.673 0.000
Li Ru Cl
1 4 1
direct
0.000 0.000 0.000
0.126 0.625 0.625
0.625 0.126 0.625
0.625 0.625 0.126
0.625 0.625 0.625
0.250 0.250 0.250
```

Properties
The space group is F-43m.

***

No. 13
Compound: LiRuCl
Source: the Alexandria database
Functional: GGA-PBE
Structure: relaxed

The structure in POSCAR format:
```
LiRuCl
1.0
0.000 2.564 6.135
1.547 0.000 6.135
1.547 2.564 0.000
Li Ru Cl
1 1 1
direct
0.000 0.000 0.000
0.312 0.312 0.688
0.640 0.640 0.360
```

Properties
The space group is Fmm2. Its relative energy among the computed polymorphs is 0.0518 eV/atom.

***

No. 14
Compound: Li2RuCl
Source: the Alexandria database
Functional: GGA-PBE
Structure: relaxed

The structure in POSCAR format:
```
Li2RuCl
1.0
2.523 -4.024 0.000
2.523 4.024 0.000
0.000 0.000 2.815
Li Ru Cl
2 1 1
direct
0.000 0.500 0.000
0.500 0.000 0.000
0.000 0.000 0.500
0.500 0.500 0.500
```

Properties
The space group is Cmmm. Its relative energy among the computed polymorphs is 0.2984 eV/atom.

***

No. 15
Compound: Li2RuCl
Source: the Alexandria database
Functional: GGA-PBE
Structure: relaxed

The structure in POSCAR format:
```
Li2RuCl
1.0
3.247 0.000 0.000
0.000 3.764 0.000
0.000 0.000 4.506
Li Ru Cl
2 1 1
direct
0.000 0.000 0.000
0.500 0.000 0.500
0.000 0.500 0.500
0.500 0.500 0.000
```

Properties
The space group is Pmmm. Its relative energy among the computed polymorphs is 0.4223 eV/atom.

***

No. 16
Compound: LiRuCl
Source: the Alexandria database
Functional: GGA-PBE
Structure: relaxed

The structure in POSCAR format:
```
LiRuCl
1.0
-1.522 1.522 5.259
1.522 -1.522 5.259
1.522 1.522 -5.259
Li Ru Cl
1 1 1
direct
0.000 0.000 0.000
0.667 0.667 0.000
0.419 0.419 0.000
```

Properties
The space group is I4mm. Its relative energy among the computed polymorphs is 0.0713 eV/atom.

***

No. 17
Compound: Li2RuCl
Source: the Alexandria database
Functional: GGA-PBE
Structure: relaxed

The structure in POSCAR format:
```
Li2RuCl
1.0
0.000 3.100 3.100
3.100 0.000 3.100
3.100 3.100 0.000
Li Ru Cl
2 1 1
direct
0.000 0.000 0.000
0.250 0.250 0.250
0.500 0.500 0.500
0.750 0.750 0.750
```

Properties
The space group is F-43m. Its relative energy among the computed polymorphs is 0.6716 eV/atom.

***

No. 18
Compound: Li2RuCl
Source: the Alexandria database
Functional: GGA-PBE
Structure: relaxed

The structure in POSCAR format:
```
Li2RuCl
1.0
0.000 3.180 3.180
3.180 0.000 3.180
3.180 3.180 0.000
Li Ru Cl
2 1 1
direct
0.250 0.250 0.250
0.750 0.750 0.750
0.000 0.000 0.000
0.500 0.500 0.500
```

Properties
The space group is Fm-3m. Its relative energy among the computed polymorphs is 0.7017 eV/atom.

***

No. 19
Compound: Li2RuCl
Source: the Alexandria database
Functional: GGA-PBE
Structure: relaxed

The structure in POSCAR format:
```
Li2RuCl
1.0
1.489 0.860 7.773
-1.489 0.860 7.773
0.000 -1.719 7.773
Li Ru Cl
2 1 1
direct
0.236 0.236 0.236
0.764 0.764 0.764
0.000 0.000 0.000
0.500 0.500 0.500
```

Properties
The space group is R-3m. Its relative energy among the computed polymorphs is 0.0000 eV/atom.

***

No. 20
Compound: Li2RuCl
Source: the Alexandria database
Functional: GGA-PBE
Structure: relaxed

The structure in POSCAR format:
```
Li2RuCl
1.0
4.643 0.000 0.000
0.000 4.643 0.000
0.000 0.000 2.958
Li Ru Cl
2 1 1
direct
0.000 0.500 0.000
0.500 0.000 0.000
0.000 0.000 0.500
0.500 0.500 0.500
```

Properties
The space group is P4/mmm. Its relative energy among the computed polymorphs is 0.4206 eV/atom.

***

| no. | uncorrected formation energy (eV/atom) | total magnetic moment (μB per formula unit) |
| --- | --- | --- |
| 1 | -0.544 | 0.81 |
| 2 | 0.074 | 1.09 |
| 3 | -1.273 | 1.99 |
| 4 | -1.034 | 1.08 |
| 5 | 0.049 | 0.00 |
| 6 | 0.064 | 0.00 |
| 7 | 0.706 | 2.35 |
| 8 | -0.202 | 0.00 |
| 9 | 0.369 | 0.00 |
| 10 | -0.845 | 0.00 |
| 11 | -0.985 | 0.00 |
| 12 | 0.919 | 4.07 |
| 13 | 0.164 | 2.20 |
| 14 | -0.045 | 0.00 |
| 15 | 0.079 | 0.29 |
| 16 | 0.184 | 2.20 |
| 17 | 0.328 | 1.64 |
| 18 | 0.358 | 1.87 |
| 19 | -0.344 | 1.04 |
| 20 | 0.077 | 2.35 |